w.
## Pm2TcSb (GGA-PBE)

Data for a relaxed Pm2TcSb crystal.

Cell: 4.0335 4.9477 4.9477 Å, 90.00 90.00 90.00°
Last column: nearest neighbours and their distance in Å.
Element x y z (fractional)
1 Sb 0.5000 0.5000 0.5000  8 Pm 3.19, 4 Tc 3.50
2 Pm 0.0000 0.0000 0.5000  4 Tc 3.19, 4 Sb 3.19, 4 Pm 3.50
3 Pm 0.0000 0.5000 0.0000  4 Tc 3.19, 4 Sb 3.19, 4 Pm 3.50
4 Tc 0.5000 0.0000 0.0000  8 Pm 3.19, 4 Sb 3.50

Values from the calculation:
The density of states at the Fermi level comes out at 2.82 states/eV/cell. As for the symmetry: No. 123.

***

x.
## Pm2TcSb (GGA-PBE)

Data for a relaxed Pm2TcSb crystal.

Cell: 5.2143 5.2143 5.2143 Å, 60.00 60.00 60.00°
Last column: nearest neighbours and their distance in Å.
Element x y z (fractional)
1 Pm 0.7500 0.7500 0.7500  4 Sb 3.19, 4 Tc 3.19
2 Pm 0.2500 0.2500 0.2500  4 Sb 3.19, 4 Tc 3.19
3 Sb 0.5000 0.5000 0.5000  8 Pm 3.19
4 Tc 0.0000 0.0000 0.0000  8 Pm 3.19

Values from the calculation:
The density of states at the Fermi level comes out at 3.22 states/eV/cell. As for the symmetry: No. 225.

***

Going by the energies, w is most stable and the next is 72 meV/atom up.

***

w.
## Pm5Sb4Te (GGA-PBE)

Data for a relaxed Pm5Sb4Te crystal.

Cell: 4.4919 6.3442 11.8870 Å, 105.48 100.89 90.00°
Last column: nearest neighbours and their distance in Å.
Element x y z (fractional)
1 Te 0.0000 0.0000 0.0000  6 Pm 3.17-3.24
2 Sb 0.2005 0.2005 0.4009  6 Pm 3.12-3.18
3 Sb 0.4008 0.4008 0.8015  6 Pm 3.16-3.18
4 Sb 0.5992 0.5992 0.1985  6 Pm 3.16-3.18
5 Sb 0.7995 0.7995 0.5991  6 Pm 3.12-3.18
6 Pm 0.6039 0.1039 0.2078  4 Sb 3.12-3.17, 2 Te 3.24
7 Pm 0.8004 0.3004 0.6009  6 Sb 3.17-3.18
8 Pm 0.0000 0.5000 0.0000  4 Sb 3.16, 2 Te 3.17
9 Pm 0.1996 0.6996 0.3991  6 Sb 3.17-3.18
10 Pm 0.3961 0.8961 0.7922  4 Sb 3.12-3.17, 2 Te 3.24

Values from the calculation:
The density of states at the Fermi level comes out at 3.35 states/eV/cell. As for the symmetry: No. 71.

***

x.
## Pm5Sb4Te (GGA-PBE)

Data for a relaxed Pm5Sb4Te crystal.

Cell: 4.4880 4.4880 16.1855 Å, 97.97 97.97 90.00°
Last column: nearest neighbours and their distance in Å.
Element x y z (fractional)
1 Pm 0.1020 0.1020 0.2040  5 Sb 3.12-3.17, 1 Te 3.24
2 Pm 0.5000 0.5000 0.0000  2 Sb 3.15, 4 Te 3.17
3 Pm 0.2998 0.2998 0.5996  6 Sb 3.16-3.21
4 Pm 0.7002 0.7002 0.4004  6 Sb 3.16-3.21
5 Pm 0.8980 0.8980 0.7960  5 Sb 3.12-3.17, 1 Te 3.24
6 Te 0.0000 0.0000 0.0000  6 Pm 3.17-3.24
7 Sb 0.2003 0.2003 0.4005  6 Pm 3.12-3.17
8 Sb 0.7997 0.7997 0.5995  6 Pm 3.12-3.17
9 Sb 0.5991 0.5991 0.1982  6 Pm 3.15-3.21
10 Sb 0.4009 0.4009 0.8018  6 Pm 3.15-3.21

Values from the calculation:
The density of states at the Fermi level comes out at 2.43 states/eV/cell. As for the symmetry: No. 139.

***

Going by the energies, w is most stable and the next is 6 meV/atom up.

***

w.
## PmThSbTe (GGA-PBE)

Data for a relaxed PmThSbTe crystal.

Cell: 4.4826 4.4826 6.3347 Å, 90.00 90.00 90.00°
Last column: nearest neighbours and their distance in Å.
Element x y z (fractional)
1 Sb 0.0000 0.0000 0.0000  2 Th 3.17, 4 Pm 3.17
2 Pm 0.5000 0.5000 0.0000  2 Te 3.17, 4 Sb 3.17
3 Th 0.0000 0.0000 0.5000  2 Sb 3.17, 4 Te 3.17
4 Te 0.5000 0.5000 0.5000  2 Pm 3.17, 4 Th 3.17

Values from the calculation:
The density of states at the Fermi level comes out at 2.76 states/eV/cell. As for the symmetry: No. 123.

***

x.
## PmThSbTe (GGA-PBE)

Data for a relaxed PmThSbTe crystal.

Cell: 5.4552 5.4552 5.4552 Å, 60.00 60.00 60.00°
Last column: nearest neighbours and their distance in Å.
Element x y z (fractional)
1 Th 0.0000 0.0000 0.0000  4 Sb 3.34, 4 Te 3.34
2 Sb 0.7500 0.7500 0.7500  4 Pm 3.34, 4 Th 3.34
3 Pm 0.5000 0.5000 0.5000  4 Sb 3.34, 4 Te 3.34
4 Te 0.2500 0.2500 0.2500  4 Th 3.34, 4 Pm 3.34

Values from the calculation:
The density of states at the Fermi level comes out at 3.62 states/eV/cell. As for the symmetry: No. 216.

***

Going by the energies, w is most stable and the next is 100 meV/atom up.